No. 1
Entry from the Alexandria database: crystalline AgP at its relaxed geometry (GGA-PBE).

The space group is Pmmn (No. 59, origin choice 2) and the conventional cell measures 2.9031, 4.4465 and 5.3731 Å, with angles of 90.00, 90.00 and 90.00 degrees. The distinct sites, in fractional coordinates, are Ag at (0.2500, 0.2500, 0.2191) and P at (0.2500, 0.2500, 0.7125).

As for the formation energy: 449 meV per atom. The total energy is -0.1353 Ha/atom. Its size of the total moment is 0.00 μB per formula unit. Its polymorph energy (0 for the lowest one) is 333.6 meV per atom.

No. 2
Entry from the Alexandria database: crystalline AgP at its relaxed geometry (GGA-PBE).

The space group is R-3m (No. 166, hexagonal axes) and the conventional cell measures 3.2142, 3.2142 and 23.2111 Å, with angles of 90.00, 90.00 and 120.00 degrees. The distinct sites, in fractional coordinates, are Ag at (0.0000, 0.0000, 0.1190) and P at (0.0000, 0.0000, 0.3616).

As for the formation energy: 140 meV per atom. The total energy is -0.1466 Ha/atom. Its size of the total moment is 0.00 μB per formula unit. Its polymorph energy (0 for the lowest one) is 24.7 meV per atom.

No. 3
Entry from the Alexandria database: crystalline AgP at its relaxed geometry (GGA-PBE).

The space group is I4_1/amd (No. 141, origin choice 2) and the conventional cell measures 3.9983, 3.9983 and 8.5233 Å, with angles of 90.00, 90.00 and 90.00 degrees. The distinct sites, in fractional coordinates, are Ag at (0.0000, 0.2500, 0.3750) and P at (0.0000, 0.2500, 0.8750).

As for the formation energy: 491 meV per atom. The total energy is -0.1337 Ha/atom. Its size of the total moment is 0.00 μB per formula unit. Its polymorph energy (0 for the lowest one) is 375.9 meV per atom.